(1)
# Th6PdC2S3 | Alexandria via LeMat-Bulk | PBE | relaxed
# Uncorrected formation energy   -1.139 eV per atom
# V   22.80 A^3/atom
# Total magnetization   0.0 μB/f.u.
data_Th6PdC2S3
_chemical_formula_sum 'Th12 Pd2 C4 S6'
_space_group_name_H-M_alt 'C 1 2/m 1'
_space_group_IT_number 12
_cell_length_a 17.553
_cell_length_b 3.917
_cell_length_c 8.207
_cell_angle_alpha 90.00
_cell_angle_beta 104.10
_cell_angle_gamma 90.00
loop_
_space_group_symop_operation_xyz
'x,y,z'
'-x,-y,-z'
'-x,y,-z'
'x,-y,z'
'x+1/2,y+1/2,z'
'-x+1/2,-y+1/2,-z'
'-x+1/2,y+1/2,-z'
'x+1/2,-y+1/2,z'
loop_
_atom_site_label
_atom_site_fract_x
_atom_site_fract_y
_atom_site_fract_z
_atom_site_occupancy
Th1 0.016 0.000 0.263 1
Th2 0.172 0.500 0.123 1
Th3 0.174 0.500 0.567 1
Pd1 0.000 0.500 0.000 1
C1 0.170 0.000 0.336 1
S1 0.000 0.500 0.500 1
S2 0.162 0.000 0.838 1

(2)
# Ca2SbPt | Alexandria via LeMat-Bulk | PBE | relaxed
# Uncorrected formation energy   -0.543 eV per atom
# V   23.41 A^3/atom
# Total magnetization   0.0 μB/f.u.
data_Ca2SbPt
_chemical_formula_sum 'Ca8 Sb4 Pt4'
_space_group_name_H-M_alt 'F -4 3 m'
_space_group_IT_number 216
_space_group_name_Hall 'F -4 2 3'
_cell_length_a 7.209
_cell_length_b 7.209
_cell_length_c 7.209
_cell_angle_alpha 90.00
_cell_angle_beta 90.00
_cell_angle_gamma 90.00
loop_
_atom_site_label
_atom_site_fract_x
_atom_site_fract_y
_atom_site_fract_z
_atom_site_occupancy
Ca1 0.000 0.000 0.000 1
Ca2 0.250 0.250 0.250 1
Sb1 0.000 0.000 0.500 1
Pt1 0.250 0.250 0.750 1

(3)
# SmTm4Sc8 | Alexandria via LeMat-Bulk | PBE | relaxed
# V   30.58 A^3/atom
# E_form   0.6000 eV/atom
# Total magnetization   2.0 μB/f.u.
data_SmTm4Sc8
_chemical_formula_sum 'Sm3 Tm12 Sc24'
_space_group_name_H-M_alt 'R -3 m'
_space_group_IT_number 166
_space_group_name_Hall '-R 3 2"'
_cell_length_a 10.4076
_cell_length_b 10.4076
_cell_length_c 12.7130
_cell_angle_alpha 90.00
_cell_angle_beta 90.00
_cell_angle_gamma 120.00
loop_
_atom_site_label
_atom_site_fract_x
_atom_site_fract_y
_atom_site_fract_z
_atom_site_occupancy
Sm1 0.0000 0.0000 0.0000 1
Tm1 0.0000 0.0000 0.5000 1
Tm2 0.0000 0.5000 0.5000 1
Sc1 0.0000 0.0000 0.2609 1
Sc2 0.0142 0.5071 0.2458 1

(4)
# LiFeCuIr | Alexandria via LeMat-Bulk | PBE | relaxed
# V   12.61 A^3/atom
# E_form   0.0188 eV/atom
# Total magnetization   3.7 μB/f.u.
data_LiFeCuIr
_chemical_formula_sum 'Li4 Fe4 Cu4 Ir4'
_space_group_name_H-M_alt 'F -4 3 m'
_space_group_IT_number 216
_space_group_name_Hall 'F -4 2 3'
_cell_length_a 5.866
_cell_length_b 5.866
_cell_length_c 5.866
_cell_angle_alpha 90.00
_cell_angle_beta 90.00
_cell_angle_gamma 90.00
loop_
_atom_site_label
_atom_site_fract_x
_atom_site_fract_y
_atom_site_fract_z
_atom_site_occupancy
Li1 0.000 0.000 0.000 1
Fe1 0.000 0.000 0.500 1
Cu1 0.250 0.250 0.750 1
Ir1 0.250 0.250 0.250 1

(5)
# Y2ZrMo | Alexandria via LeMat-Bulk | PBE | relaxed
# V   23.71 A^3/atom
# E_form   0.3740 eV/atom
# Energy relative to the lowest polymorph listed for this composition   0.252 eV/atom
# Total magnetization   0.0 μB/f.u.
data_Y2ZrMo
_chemical_formula_sum 'Y2 Zr1 Mo1'
_space_group_name_H-M_alt 'P 4/m m m'
_space_group_IT_number 123
_space_group_name_Hall '-P 4 2'
_cell_length_a 4.338
_cell_length_b 4.338
_cell_length_c 5.040
_cell_angle_alpha 90.00
_cell_angle_beta 90.00
_cell_angle_gamma 90.00
loop_
_atom_site_label
_atom_site_fract_x
_atom_site_fract_y
_atom_site_fract_z
_atom_site_occupancy
Y1 0.000 0.500 0.000 1
Zr1 0.000 0.000 0.500 1
Mo1 0.500 0.500 0.500 1

(6)
# Mn5Cu3Cl16 | Alexandria via LeMat-Bulk | PBE | relaxed
# Uncorrected formation energy   -0.850 eV per atom
# V   23.44 A^3/atom
# Total magnetization   22.0 μB/f.u.
data_Mn5Cu3Cl16
_chemical_formula_sum 'Mn10 Cu6 Cl32'
_space_group_name_H-M_alt 'C 1 m 1'
_space_group_IT_number 8
_cell_length_a 12.990
_cell_length_b 7.145
_cell_length_c 12.234
_cell_angle_alpha 90.00
_cell_angle_beta 97.78
_cell_angle_gamma 90.00
loop_
_space_group_symop_operation_xyz
'x,y,z'
'x,-y,z'
'x+1/2,y+1/2,z'
'x+1/2,-y+1/2,z'
loop_
_atom_site_label
_atom_site_fract_x
_atom_site_fract_y
_atom_site_fract_z
_atom_site_occupancy
Mn1 0.000 0.000 0.000 1
Mn2 0.004 0.500 0.224 1
Mn3 0.092 0.248 0.492 1
Mn4 0.316 0.500 0.752 1
Cu1 0.243 0.254 0.000 1
Cu2 0.366 0.000 0.444 1
Cl1 0.000 0.500 0.588 1
Cl2 0.018 0.000 0.590 1
Cl3 0.082 0.255 0.116 1
Cl4 0.160 0.500 0.373 1
Cl5 0.164 0.000 0.901 1
Cl6 0.175 0.500 0.872 1
Cl7 0.192 0.000 0.399 1
Cl8 0.251 0.269 0.632 1
Cl9 0.336 0.500 0.094 1
Cl10 0.340 0.000 0.104 1
Cl11 0.415 0.276 0.855 1
Cl12 0.437 0.247 0.342 1

(7)
# LaErSc2 | Alexandria via LeMat-Bulk | PBE | relaxed
# V   29.01 A^3/atom
# E_form   0.0755 eV/atom
# Energy relative to the lowest polymorph listed for this composition   0.016 eV/atom
# Total magnetization   0.0 μB/f.u.
data_LaErSc2
_chemical_formula_sum 'La4 Er4 Sc8'
_space_group_name_H-M_alt 'F m -3 m'
_space_group_IT_number 225
_space_group_name_Hall '-F 4 2 3'
_cell_length_a 7.743
_cell_length_b 7.743
_cell_length_c 7.743
_cell_angle_alpha 90.00
_cell_angle_beta 90.00
_cell_angle_gamma 90.00
loop_
_atom_site_label
_atom_site_fract_x
_atom_site_fract_y
_atom_site_fract_z
_atom_site_occupancy
La1 0.000 0.000 0.000 1
Er1 0.000 0.000 0.500 1
Sc1 0.250 0.250 0.250 1

(8)
# Li2ErZnPd4 | Alexandria via LeMat-Bulk | PBE | relaxed
# V   15.76 A^3/atom
# E_form   -0.6309 eV/atom
# Total magnetization   0.0 μB/f.u.
data_Li2ErZnPd4
_chemical_formula_sum 'Li6 Er3 Zn3 Pd12'
_space_group_name_H-M_alt 'R -3 m'
_space_group_IT_number 166
_space_group_name_Hall '-R 3 2"'
_cell_length_a 4.4441
_cell_length_b 4.4441
_cell_length_c 22.1196
_cell_angle_alpha 90.00
_cell_angle_beta 90.00
_cell_angle_gamma 120.00
loop_
_atom_site_label
_atom_site_fract_x
_atom_site_fract_y
_atom_site_fract_z
_atom_site_occupancy
Li1 0.0000 0.0000 0.2450 1
Er1 0.0000 0.0000 0.0000 1
Zn1 0.0000 0.0000 0.5000 1
Pd1 0.0000 0.0000 0.1285 1
Pd2 0.0000 0.0000 0.3838 1

(9)
# Tb2Co3Ge5 | Alexandria via LeMat-Bulk | PBE | relaxed
# V   16.40 A^3/atom
# E_form   -0.5942 eV/atom
# Energy relative to the lowest polymorph listed for this composition   0.000 eV/atom
# Total magnetization   0.6 μB/f.u.
data_Tb2Co3Ge5
_chemical_formula_sum 'Tb8 Co12 Ge20'
_space_group_name_H-M_alt 'C 1 2/c 1'
_space_group_IT_number 15
_cell_length_a 11.075
_cell_length_b 11.819
_cell_length_c 5.750
_cell_angle_alpha 90.00
_cell_angle_beta 119.34
_cell_angle_gamma 90.00
loop_
_space_group_symop_operation_xyz
'x,y,z'
'-x,-y,-z'
'-x,y,-z+1/2'
'x,-y,z+1/2'
'x+1/2,y+1/2,z'
'-x+1/2,-y+1/2,-z'
'-x+1/2,y+1/2,-z+1/2'
'x+1/2,-y+1/2,z+1/2'
loop_
_atom_site_label
_atom_site_fract_x
_atom_site_fract_y
_atom_site_fract_z
_atom_site_occupancy
Tb1 0.234 0.139 0.233 1
Co1 0.000 0.495 0.750 1
Co2 0.099 0.139 0.621 1
Ge1 0.000 0.009 0.250 1
Ge2 0.000 0.270 0.250 1
Ge3 0.000 0.284 0.750 1
Ge4 0.168 0.407 0.173 1

(10)
# Zr2BeOs | Alexandria via LeMat-Bulk | PBE | relaxed
# V   17.77 A^3/atom
# E_form   0.0900 eV/atom
# Total magnetization   0.0 μB/f.u.
data_Zr2BeOs
_chemical_formula_sum 'Zr6 Be3 Os3'
_space_group_name_H-M_alt 'R -3 m'
_space_group_IT_number 166
_space_group_name_Hall '-R 3 2"'
_cell_length_a 3.2457
_cell_length_b 3.2457
_cell_length_c 23.3708
_cell_angle_alpha 90.00
_cell_angle_beta 90.00
_cell_angle_gamma 120.00
loop_
_atom_site_label
_atom_site_fract_x
_atom_site_fract_y
_atom_site_fract_z
_atom_site_occupancy
Zr1 0.0000 0.0000 0.2470 1
Be1 0.0000 0.0000 0.5000 1
Os1 0.0000 0.0000 0.0000 1

(11)
# HfSnSe2N | Alexandria via LeMat-Bulk | PBE | relaxed
# Uncorrected formation energy   0.609 eV per atom
# V   21.58 A^3/atom
# Energy relative to the lowest polymorph listed for this composition   0.961 eV/atom
# Total magnetization   0.4 μB/f.u.
data_HfSnSe2N
_chemical_formula_sum 'Hf1 Sn1 Se2 N1'
_space_group_name_H-M_alt 'P 4/m m m'
_space_group_IT_number 123
_space_group_name_Hall '-P 4 2'
_cell_length_a 5.284
_cell_length_b 5.284
_cell_length_c 3.865
_cell_angle_alpha 90.00
_cell_angle_beta 90.00
_cell_angle_gamma 90.00
loop_
_atom_site_label
_atom_site_fract_x
_atom_site_fract_y
_atom_site_fract_z
_atom_site_occupancy
Hf1 0.000 0.000 0.000 1
Sn1 0.500 0.500 0.500 1
Se1 0.000 0.500 0.500 1
N1 0.500 0.500 0.000 1

(12)
# ZrFe2Si | Alexandria via LeMat-Bulk | PBE | relaxed
# Uncorrected formation energy   -0.339 eV per atom
# V   13.19 A^3/atom
# Total magnetization   0.0 μB/f.u.
data_ZrFe2Si
_chemical_formula_sum 'Zr1 Fe2 Si1'
_space_group_name_H-M_alt 'P 4/m m m'
_space_group_IT_number 123
_space_group_name_Hall '-P 4 2'
_cell_length_a 4.114
_cell_length_b 4.114
_cell_length_c 3.117
_cell_angle_alpha 90.00
_cell_angle_beta 90.00
_cell_angle_gamma 90.00
loop_
_atom_site_label
_atom_site_fract_x
_atom_site_fract_y
_atom_site_fract_z
_atom_site_occupancy
Zr1 0.000 0.000 0.000 1
Fe1 0.000 0.500 0.500 1
Si1 0.500 0.500 0.000 1

(13)
# Nd2Ga2Pd3 | Alexandria via LeMat-Bulk | PBE | relaxed
# V   20.33 A^3/atom
# E_form   -0.7965 eV/atom
# Total magnetization   0.0 μB/f.u.
data_Nd2Ga2Pd3
_chemical_formula_sum 'Nd4 Ga4 Pd6'
_space_group_name_H-M_alt 'C 1 2/m 1'
_space_group_IT_number 12
_cell_length_a 10.838
_cell_length_b 3.955
_cell_length_c 7.213
_cell_angle_alpha 90.00
_cell_angle_beta 112.98
_cell_angle_gamma 90.00
loop_
_space_group_symop_operation_xyz
'x,y,z'
'-x,-y,-z'
'-x,y,-z'
'x,-y,z'
'x+1/2,y+1/2,z'
'-x+1/2,-y+1/2,-z'
'-x+1/2,y+1/2,-z'
'x+1/2,-y+1/2,z'
loop_
_atom_site_label
_atom_site_fract_x
_atom_site_fract_y
_atom_site_fract_z
_atom_site_occupancy
Nd1 0.127 0.000 0.264 1
Ga1 0.154 0.000 0.722 1
Pd1 0.000 0.500 0.500 1
Pd2 0.124 0.500 0.936 1

(14)
# AcAsPb | Alexandria via LeMat-Bulk | PBE | relaxed
# V   30.68 A^3/atom
# E_form   -0.4657 eV/atom
# Energy relative to the lowest polymorph listed for this composition   0.107 eV/atom
# Total magnetization   0.0 μB/f.u.
data_AcAsPb
_chemical_formula_sum 'Ac2 As2 Pb2'
_space_group_name_H-M_alt 'I 4 m m'
_space_group_IT_number 107
_space_group_name_Hall 'I 4 -2'
_cell_length_a 3.947
_cell_length_b 3.947
_cell_length_c 11.817
_cell_angle_alpha 90.00
_cell_angle_beta 90.00
_cell_angle_gamma 90.00
loop_
_atom_site_label
_atom_site_fract_x
_atom_site_fract_y
_atom_site_fract_z
_atom_site_occupancy
Ac1 0.000 0.000 0.000 1
As1 0.000 0.000 0.361 1
Pb1 0.000 0.000 0.722 1

(15)
# Pm2B5Ru3 | Alexandria via LeMat-Bulk | PBE | relaxed
# V   13.13 A^3/atom
# E_form   -0.1864 eV/atom
# Total magnetization   0.0 μB/f.u.
data_Pm2B5Ru3
_chemical_formula_sum 'Pm8 B20 Ru12'
_space_group_name_H-M_alt 'I b a m'
_space_group_IT_number 72
_space_group_name_Hall '-I 2 2c'
_cell_length_a 9.100
_cell_length_b 10.667
_cell_length_c 5.412
_cell_angle_alpha 90.00
_cell_angle_beta 90.00
_cell_angle_gamma 90.00
loop_
_atom_site_label
_atom_site_fract_x
_atom_site_fract_y
_atom_site_fract_z
_atom_site_occupancy
Pm1 0.245 0.129 0.000 1
B1 0.000 0.000 0.250 1
B2 0.000 0.286 0.250 1
B3 0.111 0.369 0.000 1
Ru1 0.000 0.500 0.250 1
Ru2 0.093 0.129 0.500 1

(16)
# KW8 | Alexandria via LeMat-Bulk | PBE | relaxed
# V   17.42 A^3/atom
# E_form   1.0423 eV/atom
# Total magnetization   0.0 μB/f.u.
data_KW8
_chemical_formula_sum 'K2 W16'
_space_group_name_H-M_alt 'I 4/m m m'
_space_group_IT_number 139
_space_group_name_Hall '-I 4 2'
_cell_length_a 8.162
_cell_length_b 8.162
_cell_length_c 4.707
_cell_angle_alpha 90.00
_cell_angle_beta 90.00
_cell_angle_gamma 90.00
loop_
_atom_site_label
_atom_site_fract_x
_atom_site_fract_y
_atom_site_fract_z
_atom_site_occupancy
K1 0.000 0.000 0.000 1
W1 0.000 0.343 0.000 1
W2 0.177 0.177 0.500 1

(17)
# SrScPb2 | Alexandria via LeMat-Bulk | PBE | relaxed
# V   30.07 A^3/atom
# E_form   -0.2793 eV/atom
# Total magnetization   0.0 μB/f.u.
data_SrScPb2
_chemical_formula_sum 'Sr1 Sc1 Pb2'
_space_group_name_H-M_alt 'P 1 m 1'
_space_group_IT_number 6
_cell_length_a 3.722
_cell_length_b 5.681
_cell_length_c 5.688
_cell_angle_alpha 90.00
_cell_angle_beta 90.12
_cell_angle_gamma 90.00
loop_
_space_group_symop_operation_xyz
'x,y,z'
'x,-y,z'
loop_
_atom_site_label
_atom_site_fract_x
_atom_site_fract_y
_atom_site_fract_z
_atom_site_occupancy
Sr1 0.000 0.000 0.000 1
Sc1 0.167 0.500 0.501 1
Pb1 0.527 0.500 0.001 1
Pb2 0.528 0.000 0.500 1

(18)
# Ca3Y | Alexandria via LeMat-Bulk | PBE | relaxed
# V   38.99 A^3/atom
# E_form   0.0919 eV/atom
# Energy relative to the lowest polymorph listed for this composition   0.063 eV/atom
# Total magnetization   1.0 μB/f.u.
data_Ca3Y
_chemical_formula_sum 'Ca12 Y4'
_space_group_name_H-M_alt 'P n m a'
_space_group_IT_number 62
_cell_length_a 6.540
_cell_length_b 12.441
_cell_length_c 7.668
_cell_angle_alpha 90.00
_cell_angle_beta 90.00
_cell_angle_gamma 90.00
loop_
_space_group_symop_operation_xyz
'x,y,z'
'-x,-y,-z'
'-x+1/2,-y,z+1/2'
'x+1/2,y,-z+1/2'
'x+1/2,-y+1/2,-z+1/2'
'-x+1/2,y+1/2,z+1/2'
'-x,y+1/2,-z'
'x,-y+1/2,z'
loop_
_atom_site_label
_atom_site_fract_x
_atom_site_fract_y
_atom_site_fract_z
_atom_site_occupancy
Ca1 0.084 0.250 0.120 1
Ca2 0.247 0.503 0.376 1
Y1 0.084 0.250 0.638 1

(19)
# Sn3IO | Alexandria via LeMat-Bulk | PBE | relaxed
# Uncorrected formation energy   1.296 eV per atom
# V   41.03 A^3/atom
# Energy relative to the lowest polymorph listed for this composition   1.344 eV/atom
# Total magnetization   0.0 μB/f.u.
data_Sn3IO
_chemical_formula_sum 'Sn3 I1 O1'
_space_group_name_H-M_alt 'P m -3 m'
_space_group_IT_number 221
_space_group_name_Hall '-P 4 2 3'
_cell_length_a 5.898
_cell_length_b 5.898
_cell_length_c 5.898
_cell_angle_alpha 90.00
_cell_angle_beta 90.00
_cell_angle_gamma 90.00
loop_
_atom_site_label
_atom_site_fract_x
_atom_site_fract_y
_atom_site_fract_z
_atom_site_occupancy
Sn1 0.000 0.000 0.500 1
I1 0.000 0.000 0.000 1
O1 0.500 0.500 0.500 1

(20)
# CsNa5Tl6 | Alexandria via LeMat-Bulk | PBE | relaxed
# V   32.28 A^3/atom
# E_form   -0.0416 eV/atom
# Total magnetization   0.0 μB/f.u.
data_CsNa5Tl6
_chemical_formula_sum 'Cs1 Na5 Tl6'
_space_group_name_H-M_alt 'P 1 2/m 1'
_space_group_IT_number 10
_cell_length_a 5.412
_cell_length_b 8.787
_cell_length_c 8.574
_cell_angle_alpha 90.00
_cell_angle_beta 108.18
_cell_angle_gamma 90.00
loop_
_space_group_symop_operation_xyz
'x,y,z'
'-x,-y,-z'
'-x,y,-z'
'x,-y,z'
loop_
_atom_site_label
_atom_site_fract_x
_atom_site_fract_y
_atom_site_fract_z
_atom_site_occupancy
Cs1 0.000 0.000 0.000 1
Na1 0.000 0.500 0.000 1
Na2 0.331 0.000 0.659 1
Na3 0.340 0.500 0.676 1
Tl1 0.180 0.272 0.364 1
Tl2 0.500 0.294 0.000 1